1.
Crystalline Pm2SmEr6Tm3 at its relaxed geometry. Source: the Alexandria database, functional GGA-PBE.

Values from the calculation:
Calculated volume ... 374 Å³ per cell
Energy of formation from the pure elements ... 0.3 eV/f.u.
Calculated total energy ... -4.56 eV/atom
Size of the total moment ... 0.00 μB per formula unit
DOS at the Fermi energy ... 16.61 states/eV/f.u.

a b c (Å): 6.126 6.126 11.691
angles (deg): 95.01 95.01 119.93
Positions (direct):
Pm 0.333 0.667 0.000
Pm 0.667 0.333 0.000
Sm 0.000 0.000 0.000
Er 0.914 0.581 0.746
Er 0.752 0.752 0.254
Er 0.086 0.419 0.254
Er 0.581 0.914 0.746
Er 0.248 0.248 0.746
Er 0.419 0.086 0.254
Tm 0.167 0.833 0.500
Tm 0.833 0.167 0.500
Tm 0.500 0.500 0.500

2.
Crystalline PmSm6Er2Tm3 at its relaxed geometry. Source: the Alexandria database, functional GGA-PBE.

Values from the calculation:
Calculated volume ... 386 Å³ per cell
Energy of formation from the pure elements ... 0.2 eV/f.u.
Calculated total energy ... -4.62 eV/atom
Size of the total moment ... 0.00 μB per formula unit
DOS at the Fermi energy ... 14.08 states/eV/f.u.

a b c (Å): 6.199 6.199 11.779
angles (deg): 95.02 95.02 119.98
Positions (direct):
Pm 0.000 0.000 0.000
Sm 0.916 0.582 0.748
Sm 0.750 0.750 0.252
Sm 0.084 0.418 0.252
Sm 0.582 0.916 0.748
Sm 0.250 0.250 0.748
Sm 0.418 0.084 0.252
Er 0.333 0.667 0.000
Er 0.667 0.333 0.000
Tm 0.167 0.833 0.500
Tm 0.833 0.167 0.500
Tm 0.500 0.500 0.500

3.
Crystalline PmSmEr4Tm2 at its relaxed geometry. Source: the Alexandria database, functional GGA-PBE.

Values from the calculation:
Calculated volume ... 522 Å³ per cell
Energy of formation from the pure elements ... 3.5 eV/f.u.
Calculated total energy ... -4.14 eV/atom
Size of the total moment ... 2.98 μB per formula unit
DOS at the Fermi energy ... 16.97 states/eV/f.u.

a b c (Å): 9.452 9.452 11.709
angles (deg): 128.27 128.27 88.71
Positions (direct):
Pm 0.000 0.500 0.000
Pm 0.000 0.500 0.500
Sm 0.500 0.500 0.500
Sm 0.000 0.000 0.000
Er 0.255 0.748 0.002
Er 0.752 0.245 0.498
Er 0.248 0.755 0.502
Er 0.745 0.252 0.998
Er 0.748 0.754 0.005
Er 0.746 0.752 0.495
Er 0.254 0.248 0.505
Er 0.252 0.246 0.995
Tm 0.500 0.000 0.000
Tm 0.500 0.000 0.500
Tm 0.000 0.000 0.500
Tm 0.500 0.500 0.000

4.
Crystalline Pm6SmEr3Tm2 at its relaxed geometry. Source: the Alexandria database, functional GGA-PBE.

Values from the calculation:
Calculated volume ... 389 Å³ per cell
Energy of formation from the pure elements ... 0.2 eV/f.u.
Calculated total energy ... -4.64 eV/atom
Size of the total moment ... 0.00 μB per formula unit
DOS at the Fermi energy ... 13.62 states/eV/f.u.

a b c (Å): 6.223 6.224 11.791
angles (deg): 95.04 95.04 120.00
Positions (direct):
Pm 0.916 0.582 0.749
Pm 0.750 0.750 0.251
Pm 0.084 0.418 0.251
Pm 0.582 0.916 0.749
Pm 0.250 0.250 0.749
Pm 0.418 0.084 0.251
Sm 0.000 0.000 0.000
Er 0.167 0.833 0.500
Er 0.833 0.167 0.500
Er 0.500 0.500 0.500
Tm 0.333 0.667 0.000
Tm 0.667 0.333 0.000

5.
Crystalline Pm3Sm2ErTm6 at its relaxed geometry. Source: the Alexandria database, functional GGA-PBE.

Values from the calculation:
Calculated volume ... 379 Å³ per cell
Energy of formation from the pure elements ... 0.2 eV/f.u.
Calculated total energy ... -4.57 eV/atom
Size of the total moment ... 0.00 μB per formula unit
DOS at the Fermi energy ... 14.13 states/eV/f.u.

a b c (Å): 6.163 6.163 11.688
angles (deg): 95.03 95.03 119.98
Positions (direct):
Pm 0.167 0.833 0.500
Pm 0.833 0.167 0.500
Pm 0.500 0.500 0.500
Sm 0.334 0.666 0.000
Sm 0.666 0.334 0.000
Er 0.000 0.000 0.000
Tm 0.917 0.584 0.752
Tm 0.750 0.750 0.249
Tm 0.083 0.416 0.248
Tm 0.584 0.917 0.752
Tm 0.250 0.250 0.751
Tm 0.416 0.083 0.248

6.
Crystalline PmSm2Er3Tm6 at its relaxed geometry. Source: the Alexandria database, functional GGA-PBE.

Values from the calculation:
Calculated volume ... 372 Å³ per cell
Energy of formation from the pure elements ... 0.3 eV/f.u.
Calculated total energy ... -4.54 eV/atom
Size of the total moment ... 0.00 μB per formula unit
DOS at the Fermi energy ... 16.56 states/eV/f.u.

a b c (Å): 6.115 6.115 11.658
angles (deg): 95.01 95.01 119.95
Positions (direct):
Pm 0.000 0.000 0.000
Sm 0.333 0.667 0.000
Sm 0.667 0.333 0.000
Er 0.167 0.833 0.500
Er 0.833 0.167 0.500
Er 0.500 0.500 0.500
Tm 0.915 0.582 0.747
Tm 0.751 0.751 0.253
Tm 0.085 0.418 0.253
Tm 0.582 0.915 0.747
Tm 0.249 0.249 0.747
Tm 0.418 0.085 0.253

7.
Crystalline Pm3SmErTm at its relaxed geometry. Source: the Alexandria database, functional GGA-PBE.

Values from the calculation:
Calculated volume ... 395 Å³ per cell
Energy of formation from the pure elements ... 0.1 eV/f.u.
Calculated total energy ... -4.64 eV/atom
Size of the total moment ... 0.00 μB per formula unit
DOS at the Fermi energy ... 8.77 states/eV/f.u.

a b c (Å): 5.101 8.023 10.764
angles (deg): 116.39 90.00 90.00
Positions (direct):
Pm 0.750 0.873 0.043
Pm 0.250 0.127 0.957
Pm 0.250 0.628 0.458
Pm 0.750 0.372 0.542
Pm 0.750 0.378 0.208
Pm 0.250 0.622 0.792
Sm 0.250 0.122 0.293
Sm 0.750 0.878 0.707
Er 0.250 0.626 0.125
Er 0.750 0.374 0.875
Tm 0.250 0.124 0.625
Tm 0.750 0.876 0.375

8.
Crystalline Pm4SmEr2Tm at its relaxed geometry. Source: the Alexandria database, functional GGA-PBE.

Values from the calculation:
Calculated volume ... 261 Å³ per cell
Energy of formation from the pure elements ... 0.1 eV/f.u.
Calculated total energy ... -4.65 eV/atom
Size of the total moment ... 0.00 μB per formula unit
DOS at the Fermi energy ... 10.57 states/eV/f.u.

a b c (Å): 3.601 6.220 11.841
angles (deg): 79.84 90.00 90.00
Positions (direct):
Pm 0.000 0.751 0.747
Pm 0.000 0.249 0.253
Pm 0.500 0.749 0.251
Pm 0.500 0.251 0.749
Sm 0.500 0.500 0.000
Er 0.000 0.000 0.000
Er 0.500 0.000 0.500
Tm 0.000 0.500 0.500

Among the records above, which one has the highest size of the total moment? PmSmEr4Tm2

Repeat the eighth record exactly.
Crystalline Pm4SmEr2Tm at its relaxed geometry. Source: the Alexandria database, functional GGA-PBE.

Values from the calculation:
Calculated volume ... 261 Å³ per cell
Energy of formation from the pure elements ... 0.1 eV/f.u.
Calculated total energy ... -4.65 eV/atom
Size of the total moment ... 0.00 μB per formula unit
DOS at the Fermi energy ... 10.57 states/eV/f.u.

a b c (Å): 3.601 6.220 11.841
angles (deg): 79.84 90.00 90.00
Positions (direct):
Pm 0.000 0.751 0.747
Pm 0.000 0.249 0.253
Pm 0.500 0.749 0.251
Pm 0.500 0.251 0.749
Sm 0.500 0.500 0.000
Er 0.000 0.000 0.000
Er 0.500 0.000 0.500
Tm 0.000 0.500 0.500

Number 4 is which compound? Pm6SmEr3Tm2